Here is a relaxed structure of HoTh2Rh2 from Alexandria. Energies are from PBE.

Values from the calculation:
* final energy: -37.240 eV per formula unit
* relative energy among the computed polymorphs: 136.5 meV per atom

Cell: 4.430 6.177 8.847 Å, 90.00 90.00 90.00°
Space group Immm (No. 71)
Inequivalent atoms, fractional coordinates:
Ho1 0.000 0.000 0.000 [2 per cell]
Th1 0.000 0.500 0.196 [4 per cell]
Rh1 0.000 0.230 0.500 [4 per cell]